1.
K2Pd3Se2 | PBE | optimized geometry

- mass density (g/cm3) = 5.0
- final energy (eV per atom) = -4.051

Cell: 6.0264 6.0264 17.5549 Å, 90.00 90.00 120.00°
Space group R-3m (No. 166, hexagonal axes)
Unique sites:
K: 0.0000 0.0000 0.0000 [3 per cell]
K: 0.0000 0.0000 0.5000 [3 per cell]
Pd: 0.0000 0.5000 0.0000 [9 per cell]
Se: 0.0000 0.0000 0.2341 [6 per cell]

=====

2.
K2PdSe2 | PBE | optimized geometry

- mass density (g/cm3) = 4.0
- final energy (eV per atom) = -3.764

Cell: 3.835 12.026 12.357 Å, 90.00 90.00 90.00°
Space group Cmc2_1 (No. 36)
Unique sites:
K: 0.000 0.070 0.000 [4 per cell]
K: 0.000 0.329 0.787 [4 per cell]
Pd: 0.000 0.367 0.127 [4 per cell]
Se: 0.000 0.055 0.736 [4 per cell]
Se: 0.000 0.209 0.518 [4 per cell]

=====

3.
K2Pd3Se4 | PBE | optimized geometry

- mass density (g/cm3) = 5.0
- final energy (eV per atom) = -4.230

Cell: 6.395 11.114 26.449 Å, 90.00 90.00 90.00°
Space group Fddd (No. 70, origin choice 2)
Unique sites:
K: 0.125 0.125 0.051 [16 per cell]
Pd: 0.125 0.125 0.376 [16 per cell]
Pd: 0.125 0.125 0.625 [8 per cell]
Se: 0.119 0.292 0.562 [32 per cell]

=====

4.
K2Pd2Se5 | PBE | optimized geometry

- mass density (g/cm3) = 4.5
- final energy (eV per atom) = -3.860

Cell: 11.248 8.548 10.894 Å, 90.00 106.25 90.00°
Space group C2/c (No. 15)
Unique sites:
K: 0.243 0.193 0.298 [8 per cell]
Pd: 0.096 0.323 0.935 [8 per cell]
Se: 0.000 0.145 0.750 [4 per cell]
Se: 0.011 0.415 0.367 [8 per cell]
Se: 0.190 0.065 0.996 [8 per cell]

=====

5.
KTcPdSe3 | PBE | optimized geometry

- mass density (g/cm3) = 5.6
- final energy (eV per atom) = -4.922

Cell: 3.716 15.257 9.973 Å, 90.00 90.00 90.00°
Space group Cmcm (No. 63)
Unique sites:
K: 0.000 0.242 0.250 [4 per cell]
Tc: 0.000 0.000 0.000 [4 per cell]
Pd: 0.000 0.462 0.750 [4 per cell]
Se: 0.000 0.073 0.750 [4 per cell]
Se: 0.000 0.384 0.535 [8 per cell]

=====

6.
KSiPd | PBE | optimized geometry

- energy relative to the lowest polymorph listed for this composition (meV/atom) = 740.6
- mass density (g/cm3) = 3.5

Cell: 6.924 6.924 6.924 Å, 90.00 90.00 90.00°
Space group F-43m (No. 216)
Unique sites:
K: 0.000 0.000 0.000 [4 per cell]
Si: 0.250 0.250 0.250 [4 per cell]
Pd: 0.250 0.250 0.750 [4 per cell]

=====

Question: Look up the mass density of the third one.
Answer: 5.0 g/cm3

=====

Question: Look up the mass density of the second one.
Answer: 4.0 g/cm3

=====

Question: Which formula does entry 6 have?
Answer: KSiPd

=====

Question: Which value of mass density does entry 5 give?
Answer: 5.6 g/cm3